# 1
# K2Dy2AuO6

Crystalline K2Dy2AuO6 at its relaxed geometry (PBE-GGA, Alexandria).

a = 5.899 Å, b = 5.899 Å, c = 6.609 Å
α = 97.39°, β = 97.39°, γ = 120.54°
Sites, in units of the cell vectors:
K  0.159  0.841  0.000
K  0.841  0.159  0.000
Dy  0.334  0.666  0.500
Dy  0.666  0.334  0.500
Au  0.000  0.000  0.500
O  0.049  0.387  0.683
O  0.252  0.252  0.331
O  0.387  0.049  0.683
O  0.613  0.951  0.317
O  0.748  0.748  0.669
O  0.951  0.613  0.317

Results
energy relative to the elements, uncorrected = -45.23 kcal/mol of atoms


# 2
# KDyAuO2

Crystalline KDyAuO2 at its relaxed geometry (PBE-GGA, Alexandria).

a = 6.671 Å, b = 5.450 Å, c = 6.485 Å
α = 90.00°, β = 95.38°, γ = 90.00°
Sites, in units of the cell vectors:
K  0.000  0.204  0.250
K  0.000  0.796  0.750
Dy  0.500  0.019  0.750
Dy  0.500  0.981  0.250
Au  0.500  0.500  0.000
Au  0.500  0.500  0.500
O  0.294  0.111  0.989
O  0.294  0.889  0.489
O  0.706  0.111  0.511
O  0.706  0.889  0.011

Results
energy relative to the elements, uncorrected = -39.08 kcal/mol of atoms